Below is a geometry-optimized Na3NdU2Te6 structure, with properties calculated at the PBE level.

Calculated values
M_tot: 0.501 μB/atom
Energy relative to the elements, uncorrected: -21.91 kcal/mol of atoms
Electronic total energy: -5.13 eV/atom
Symmetry: C2/m, No. 12

Cell lengths 7.7314, 7.7314, 8.0320 Å; angles 99.24, 99.24, 120.00 degrees
Site moments in Bohr magnetons follow the coordinates.
Fractional positions:
Na 0.1643 0.8357 0.5000  0.00
Na 0.8357 0.1643 0.5000  0.00
Na 0.5000 0.5000 0.5000  0.00
Nd 0.0000 0.0000 0.0000  0.12
U 0.3330 0.6670 0.0000  2.74
U 0.6670 0.3330 0.0000  2.74
Te 0.9205 0.5815 0.7620  -0.04
Te 0.7400 0.7400 0.2377  -0.04
Te 0.0795 0.4185 0.2380  -0.04
Te 0.5815 0.9205 0.7620  -0.04
Te 0.2600 0.2600 0.7623  -0.04
Te 0.4185 0.0795 0.2380  -0.04


Below is a geometry-optimized Tc3OF structure, with properties calculated at the PBE level.

Calculated values
M_tot: 0.003 μB/atom
Distance to the lowest polymorph of the same formula: 0 meV per atom
Energy relative to the elements, uncorrected: 11.11 kcal/mol of atoms
Electronic total energy: -7.10 eV/atom
Symmetry: Pm-3m, No. 221

Cell lengths 4.0583, 4.0583, 4.0583 Å; angles 90.00, 90.00, 90.00 degrees
Fractional positions:
Tc 0.0000 0.5000 0.0000
Tc 0.0000 0.0000 0.5000
Tc 0.5000 0.0000 0.0000
O 0.0000 0.0000 0.0000
F 0.5000 0.5000 0.5000


Below is a geometry-optimized PaAgRu2O8 structure, with properties calculated at the PBE level.

Calculated values
M_tot: 0.152 μB/atom
Energy relative to the elements, uncorrected: -30.02 kcal/mol of atoms
Electronic total energy: -7.18 eV/atom
Symmetry: P-3, No. 147

Cell lengths 5.9340, 5.9340, 6.7317 Å; angles 90.00, 90.00, 120.00 degrees
Site moments in Bohr magnetons follow the coordinates.
Fractional positions:
Pa 0.0000 0.0000 0.5000  0.04
Ag 0.0000 0.0000 0.0000  0.00
Ru 0.6667 0.3333 0.1875  0.52
Ru 0.3333 0.6667 0.8125  0.52
O 0.3333 0.6667 0.0685  0.06
O 0.3356 0.1666 0.3041  0.07
O 0.8334 0.1690 0.3041  0.07
O 0.6667 0.3333 0.9315  0.06
O 0.1666 0.8310 0.6959  0.07
O 0.6644 0.8334 0.6959  0.07
O 0.1690 0.3356 0.6959  0.07
O 0.8310 0.6644 0.3041  0.07


Below is a geometry-optimized AcAsP structure, with properties calculated at the PBE level.

Calculated values
M_tot: 0.000 μB/atom
Distance to the lowest polymorph of the same formula: 357 meV per atom
E_form: -480.7 meV per atom
Electronic total energy: -5.20 eV/atom
Symmetry: F-43m, No. 216

Cell lengths 4.9118, 4.9118, 4.9118 Å; angles 60.00, 60.00, 60.00 degrees
Fractional positions:
P 0.2500 0.2500 0.2500
Ac 0.5000 0.5000 0.5000
As 0.0000 0.0000 0.0000


Below is a geometry-optimized Sr3Zn8Au3 structure, with properties calculated at the PBE level.

Calculated values
M_tot: 0.000 μB/atom
Distance to the lowest polymorph of the same formula: 0 meV per atom
E_form: -384.6 meV per atom
Electronic total energy: -2.18 eV/atom
Symmetry: C2/m, No. 12

Cell lengths 4.5007, 8.5881, 8.5984 Å; angles 68.26, 74.83, 74.81 degrees
Fractional positions:
Sr 0.2996 0.6973 0.7036
Sr 0.7004 0.3027 0.2964
Sr 0.0000 0.0000 0.0000
Zn 0.1299 0.1545 0.5856
Zn 0.8701 0.8455 0.4144
Zn 0.8686 0.4155 0.8473
Zn 0.1314 0.5845 0.1527
Zn 0.4959 0.7009 0.3074
Zn 0.5041 0.2991 0.6926
Zn 0.3326 0.0165 0.3183
Zn 0.6674 0.9835 0.6817
Au 0.0000 0.5000 0.5000
Au 0.6570 0.7066 0.9794
Au 0.3430 0.2934 0.0206


Below is a geometry-optimized K2BaNpO4 structure, with properties calculated at the PBE level.

Calculated values
M_tot: 0.375 μB/atom
Energy relative to the elements, uncorrected: -52.58 kcal/mol of atoms
Electronic total energy: -6.89 eV/atom
Symmetry: P2/m, No. 10

Cell lengths 3.6774, 6.6548, 6.7236 Å; angles 111.06, 90.00, 90.00 degrees
Site moments in Bohr magnetons follow the coordinates.
Fractional positions:
K 0.5000 0.0000 0.5000  0.01
K 0.0000 0.5000 0.5000  0.00
Ba 0.0000 0.0000 0.0000  0.02
Np 0.5000 0.5000 0.0000  3.08
O 0.5000 0.2984 0.1871  -0.06
O 0.5000 0.7016 0.8129  -0.06
O 0.0000 0.2926 0.8044  -0.05
O 0.0000 0.7074 0.1956  -0.05


Below is a geometry-optimized TlHIBr2 structure, with properties calculated at the PBE level.

Calculated values
M_tot: 0.000 μB/atom
Electronic total energy: -2.16 eV/atom
Symmetry: P4/mmm, No. 123

Cell lengths 5.9645, 5.9645, 3.8760 Å; angles 90.00, 90.00, 90.00 degrees
Fractional positions:
I 0.0000 0.0000 0.5000
H 0.0000 0.0000 0.0000
Tl 0.5000 0.5000 0.5000
Br 0.0000 0.5000 0.0000
Br 0.5000 0.0000 0.0000


Below is a geometry-optimized MnSiAu4 structure, with properties calculated at the PBE level.

Calculated values
M_tot: 0.756 μB/atom
Energy relative to the elements, uncorrected: 8.43 kcal/mol of atoms
Electronic total energy: -4.25 eV/atom
Symmetry: F-43m, No. 216

Cell lengths 5.4747, 5.4747, 5.4747 Å; angles 60.00, 60.00, 60.00 degrees
Site moments in Bohr magnetons follow the coordinates.
Fractional positions:
Mn 0.7500 0.7500 0.7500  4.27
Si 0.0000 0.0000 0.0000  -0.04
Au 0.8746 0.3751 0.3751  0.02
Au 0.3751 0.3751 0.8746  0.02
Au 0.3751 0.8746 0.3751  0.02
Au 0.3751 0.3751 0.3751  0.02


Below is a geometry-optimized Rb2Ru2F structure, with properties calculated at the PBE level.

Calculated values
M_tot: 0.000 μB/atom
Distance to the lowest polymorph of the same formula: 0 meV per atom
Energy relative to the elements, uncorrected: -10.32 kcal/mol of atoms
Electronic total energy: -4.92 eV/atom
Symmetry: I4/mmm, No. 139

Cell lengths 3.4736, 3.4736, 10.0384 Å; angles 80.04, 80.04, 90.00 degrees
Fractional positions:
Ru 0.7500 0.2500 0.5000
Ru 0.2500 0.7500 0.5000
Rb 0.4131 0.4131 0.1737
Rb 0.5869 0.5869 0.8263
F 0.0000 0.0000 0.0000


Below is a geometry-optimized CeTh2Se6 structure, with properties calculated at the PBE level.

Calculated values
M_tot: 0.011 μB/atom
Distance to the lowest polymorph of the same formula: 125 meV per atom
Energy relative to the elements, uncorrected: -35.48 kcal/mol of atoms
Electronic total energy: -6.17 eV/atom
Symmetry: C2/m, No. 12

Cell lengths 5.3359, 7.8636, 8.2804 Å; angles 71.85, 71.20, 70.17 degrees
Site moments in Bohr magnetons follow the coordinates.
Fractional positions:
Ce 0.0000 0.5000 0.5000  0.23
Th 0.1810 0.7552 0.8828  -0.01
Th 0.8190 0.2448 0.1172  -0.01
Se 0.7621 0.6182 0.8576  0.00
Se 0.2379 0.3818 0.1424  0.00
Se 0.9633 0.8494 0.2239  -0.01
Se 0.3807 0.6998 0.5388  -0.03
Se 0.0367 0.1506 0.7761  -0.01
Se 0.6193 0.3002 0.4612  -0.03


Below is a geometry-optimized Sr2SmBeO5 structure, with properties calculated at the PBE level.

Calculated values
M_tot: 0.115 μB/atom
Energy relative to the elements, uncorrected: -63.64 kcal/mol of atoms
Electronic total energy: -6.83 eV/atom
Symmetry: Pnma, No. 62

Cell lengths 6.5888, 7.4084, 9.6399 Å; angles 90.00, 90.00, 90.00 degrees
Site moments in Bohr magnetons follow the coordinates.
Fractional positions:
Sr 0.5885 0.5244 0.8264  0.00
Sr 0.4115 0.4756 0.1736  0.00
Sr 0.0885 0.4756 0.6736  0.00
Sr 0.4115 0.0244 0.1736  0.00
Sr 0.9115 0.5244 0.3264  0.00
Sr 0.5885 0.9756 0.8264  0.00
Sr 0.9115 0.9756 0.3264  0.00
Sr 0.0885 0.0244 0.6736  0.00
Sm 0.0925 0.7500 0.9721  -0.01
Sm 0.9074 0.2500 0.0279  -0.01
Sm 0.5926 0.2500 0.5279  -0.01
Sm 0.4074 0.7500 0.4721  -0.01
Be 0.8117 0.7500 0.6009  -0.01
Be 0.1883 0.2500 0.3991  -0.01
Be 0.3117 0.2500 0.8991  -0.01
Be 0.6883 0.7500 0.1009  -0.01
O 0.3287 0.7500 0.7180  0.32
O 0.6713 0.2500 0.2820  0.32
O 0.8287 0.2500 0.7820  0.32
O 0.1713 0.7500 0.2180  0.32
O 0.6870 0.5639 0.5626  0.10
O 0.3130 0.4361 0.4374  0.10
O 0.1870 0.4361 0.9374  0.10
O 0.3130 0.0639 0.4374  0.10
O 0.8130 0.5639 0.0626  0.10
O 0.6870 0.9361 0.5626  0.10
O 0.8130 0.9361 0.0626  0.10
O 0.1870 0.0639 0.9374  0.10
O 0.0325 0.7500 0.5125  0.25
O 0.9675 0.2500 0.4875  0.25
O 0.5325 0.2500 0.9875  0.25
O 0.4675 0.7500 0.0125  0.25
O 0.8768 0.7500 0.7698  0.10
O 0.1232 0.2500 0.2302  0.10
O 0.3768 0.2500 0.7302  0.10
O 0.6232 0.7500 0.2698  0.10


Below is a geometry-optimized InSiP2O structure, with properties calculated at the PBE level.

Calculated values
M_tot: 0.000 μB/atom
Distance to the lowest polymorph of the same formula: 1111 meV per atom
Energy relative to the elements, uncorrected: 19.27 kcal/mol of atoms
Electronic total energy: -3.95 eV/atom
Symmetry: P4/mmm, No. 123

Cell lengths 5.0938, 5.0938, 3.9502 Å; angles 90.00, 90.00, 90.00 degrees
Fractional positions:
P 0.0000 0.5000 0.0000
P 0.5000 0.0000 0.0000
Si 0.5000 0.5000 0.5000
O 0.0000 0.0000 0.5000
In 0.0000 0.0000 0.0000


Below is a geometry-optimized CsTl3Pd structure, with properties calculated at the PBE level.

Calculated values
M_tot: 0.000 μB/atom
Distance to the lowest polymorph of the same formula: 0 meV per atom
E_form: -138.1 meV per atom
Electronic total energy: -2.77 eV/atom
Symmetry: P2_1/m, No. 11

Cell lengths 5.4940, 9.7895, 9.7894 Å; angles 134.11, 90.01, 89.99 degrees
Fractional positions:
Cs 0.7500 0.7024 0.2989
Cs 0.2500 0.2976 0.7011
Tl 0.7500 0.6472 0.7817
Tl 0.2500 0.7775 0.6466
Tl 0.2500 0.3528 0.2183
Tl 0.7500 0.2225 0.3534
Tl 0.2500 0.8637 0.1364
Tl 0.7500 0.1363 0.8636
Pd 0.0000 0.0000 0.0000
Pd 0.5000 0.0000 0.0000


Below is a geometry-optimized CsAl3Sb structure, with properties calculated at the PBE level.

Calculated values
M_tot: 0.000 μB/atom
Distance to the lowest polymorph of the same formula: 1029 meV per atom
Energy relative to the elements, uncorrected: 38.51 kcal/mol of atoms
Electronic total energy: -1.57 eV/atom
Symmetry: Pm-3m, No. 221

Cell lengths 5.8881, 5.8881, 5.8881 Å; angles 90.00, 90.00, 90.00 degrees
Fractional positions:
Cs 0.0000 0.0000 0.0000
Sb 0.5000 0.5000 0.5000
Al 0.0000 0.5000 0.0000
Al 0.0000 0.0000 0.5000
Al 0.5000 0.0000 0.0000


Below is a geometry-optimized Tb12Ho2Th structure, with properties calculated at the PBE level.

Calculated values
M_tot: 0.000 μB/atom
E_form: 117.5 meV per atom
Electronic total energy: -4.69 eV/atom
Symmetry: C2/m, No. 12

Cell lengths 6.6139, 6.6139, 24.9440 Å; angles 96.62, 83.38, 65.03 degrees
Fractional positions:
Tb 0.4013 0.5991 0.7982
Tb 0.9009 0.0987 0.7982
Tb 0.6021 0.8979 0.8629
Tb 0.0540 0.9460 0.9279
Tb 0.0023 0.9949 0.3297
Tb 0.4460 0.5540 0.0721
Tb 0.8280 0.1653 0.5555
Tb 0.5051 0.4977 0.3297
Tb 0.1026 0.3974 0.8628
Tb 0.8979 0.6021 0.1371
Tb 0.3118 0.1882 0.5771
Tb 0.6720 0.3347 0.4445
Tb 0.9949 0.0023 0.6703
Tb 0.1882 0.3118 0.4229
Tb 0.3974 0.1026 0.1372
Tb 0.6784 0.8216 0.4268
Tb 0.8216 0.6784 0.5732
Tb 0.0987 0.9009 0.2018
Tb 0.3347 0.6720 0.5555
Tb 0.4977 0.5051 0.6703
Tb 0.5540 0.4460 0.9279
Tb 0.5991 0.4013 0.2018
Tb 0.1653 0.8280 0.4445
Tb 0.9460 0.0540 0.0721
Ho 0.5458 0.9542 0.2713
Ho 0.0479 0.4521 0.2721
Ho 0.9542 0.5458 0.7287
Ho 0.4521 0.0479 0.7279
Th 0.4998 0.0002 0.0001
Th 0.0002 0.4998 0.9999


Below is a geometry-optimized DyZnGa3Cu structure, with properties calculated at the PBE level.

Calculated values
M_tot: 0.000 μB/atom
E_form: -112.2 meV per atom
Electronic total energy: -3.29 eV/atom
Symmetry: Cmcm, No. 63

Cell lengths 5.7460, 5.5221, 7.5470 Å; angles 111.46, 90.00, 90.00 degrees
Fractional positions:
Dy 0.7500 0.3108 0.6216
Dy 0.2500 0.6892 0.3784
Zn 0.2500 0.3443 0.6886
Zn 0.7500 0.6557 0.3114
Ga 0.2500 0.1370 0.2740
Ga 0.0000 0.2690 0.0000
Ga 0.5000 0.7310 0.0000
Ga 0.5000 0.2690 0.0000
Ga 0.0000 0.7310 0.0000
Ga 0.7500 0.8630 0.7260
Cu 0.2500 0.8902 0.7803
Cu 0.7500 0.1098 0.2197


Below is a geometry-optimized Ba2BiRh structure, with properties calculated at the PBE level.

Calculated values
M_tot: 0.000 μB/atom
E_form: -364.7 meV per atom
Electronic total energy: -4.13 eV/atom
Symmetry: I-42d, No. 122

Cell lengths 11.5751, 11.5751, 8.6041 Å; angles 47.73, 47.73, 90.00 degrees
Fractional positions:
Rh 0.5000 0.5000 0.0000
Rh 0.2500 0.7500 0.5000
Bi 0.0000 0.0000 0.0000
Bi 0.7500 0.2500 0.5000
Ba 0.4534 0.1250 0.2500
Ba 0.2966 0.6250 0.2500
Ba 0.3750 0.5466 0.7500
Ba 0.8750 0.7034 0.7500


Below is a geometry-optimized Tb3Nd6Dy structure, with properties calculated at the PBE level.

Calculated values
M_tot: 0.000 μB/atom
E_form: 122.3 meV per atom
Electronic total energy: -4.59 eV/atom
Symmetry: Cmc2_1, No. 36

Cell lengths 6.4536, 11.8175, 11.8175 Å; angles 130.67, 90.00, 90.00 degrees
Fractional positions:
Tb 0.4912 0.9583 0.7072
Tb 0.9912 0.7072 0.9583
Tb 0.0882 0.4207 0.5793
Tb 0.5882 0.5793 0.4207
Tb 0.9912 0.0417 0.2928
Tb 0.4912 0.2928 0.0417
Nd 0.0680 0.7414 0.6203
Nd 0.5680 0.6203 0.7414
Nd 0.3220 0.4553 0.8937
Nd 0.8220 0.8937 0.4553
Nd 0.3194 0.9836 0.0164
Nd 0.7992 0.3009 0.6991
Nd 0.2992 0.6991 0.3009
Nd 0.8194 0.0164 0.9836
Nd 0.3220 0.1063 0.5447
Nd 0.8220 0.5447 0.1063
Nd 0.0680 0.3797 0.2586
Nd 0.5680 0.2586 0.3797
Dy 0.0160 0.1583 0.8417
Dy 0.5160 0.8417 0.1583


Below is a geometry-optimized AcPmGaGe structure, with properties calculated at the PBE level.

Calculated values
M_tot: 0.000 μB/atom
Distance to the lowest polymorph of the same formula: 172 meV per atom
E_form: -508.7 meV per atom
Electronic total energy: -4.63 eV/atom
Symmetry: F-43m, No. 216

Cell lengths 5.3679, 5.3679, 5.3679 Å; angles 60.00, 60.00, 60.00 degrees
Fractional positions:
Ac 0.5000 0.5000 0.5000
Ge 0.2500 0.2500 0.2500
Ga 0.7500 0.7500 0.7500
Pm 0.0000 0.0000 0.0000


Below is a geometry-optimized RbPPt3 structure, with properties calculated at the PBE level.

Calculated values
M_tot: 0.000 μB/atom
Distance to the lowest polymorph of the same formula: 0 meV per atom
E_form: -305.3 meV per atom
Electronic total energy: -5.21 eV/atom
Symmetry: P2_1/m, No. 11

Cell lengths 7.0293, 5.6117, 6.4275 Å; angles 90.00, 94.99, 90.00 degrees
Fractional positions:
Rb 0.6303 0.9476 0.0708
Rb 0.4040 0.4476 0.4898
P 0.8756 0.4476 0.8715
P 0.1587 0.9476 0.6891
Pt 0.9069 0.4476 0.2285
Pt 0.1274 0.9476 0.3321
Pt 0.8961 0.2029 0.5859
Pt 0.8961 0.6923 0.5859
Pt 0.1383 0.7029 0.9747
Pt 0.1383 0.1923 0.9747


Below is a geometry-optimized Na2MgIn5Ag2 structure, with properties calculated at the PBE level.

Calculated values
M_tot: 0.000 μB/atom
E_form: -90.0 meV per atom
Electronic total energy: -2.45 eV/atom
Symmetry: P4/mbm, No. 127

Cell lengths 4.4713, 10.4689, 10.4689 Å; angles 90.00, 90.00, 90.00 degrees
Fractional positions:
Na 0.0000 0.6755 0.1755
Na 0.0000 0.3245 0.8245
Na 0.0000 0.1755 0.3245
Na 0.0000 0.8245 0.6755
Mg 0.0000 0.0000 0.0000
Mg 0.0000 0.5000 0.5000
In 0.5000 0.2007 0.0665
In 0.5000 0.7993 0.9335
In 0.5000 0.0665 0.7993
In 0.5000 0.7007 0.4335
In 0.5000 0.9335 0.2007
In 0.5000 0.2993 0.5665
In 0.5000 0.5665 0.7007
In 0.5000 0.4335 0.2993
In 0.5000 0.5000 0.0000
In 0.5000 0.0000 0.5000
Ag 0.0000 0.1216 0.6216
Ag 0.0000 0.8784 0.3784
Ag 0.0000 0.6216 0.8784
Ag 0.0000 0.3784 0.1216